Entry from OQMD via LeMat-Bulk: crystalline NbSiOs at its relaxed geometry (PBE).

The structure belongs to space group F-43m (No. 216); the cell edges are 5.853, 5.853 and 5.853 Å and the angles 90.00°, 90.00° and 90.00°. The distinct sites, in fractional coordinates, are Nb at (0.000, 0.000, 0.000), Si at (0.250, 0.250, 0.250) and Os at (0.000, 0.000, 0.500).

The calculation puts the uncorrected energy at -105.64 eV for the cell shown.